1.
Entry from the Alexandria database: crystalline RbAgBr3 at its relaxed geometry (PBE).

## Properties
The calculation puts the uncorrected formation energy at -596 meV/atom. For the total energy, the calculation gives -2.363 eV/atom. The value obtained for the magnetization is 0.000 μB/atom.

Geometry as extended XYZ:
```
10
Lattice="-1.348 4.245 3.301 -5.149 -2.000 0.470 0.737 -6.461 13.264" Properties=species:S:1:pos:R:3 pbc="T T T"
Br -3.991 -2.523 10.924
Br -4.645 -2.536 3.706
Br -3.959 -6.356 11.211
Br -1.400 -5.361 10.977
Br -5.315 -0.426 5.346
Br -1.768 -1.694 6.111
Ag -1.159 -2.013 11.424
Ag -2.699 0.918 7.027
Rb -3.830 -3.670 7.810
Rb 0.000 0.000 0.000
```

---

2.
Entry from the Alexandria database: crystalline La4TlHgO at its relaxed geometry (PBE).

## Properties
The calculation puts the uncorrected formation energy at -1042 meV/atom. For the total energy, the calculation gives -4.947 eV/atom. The value obtained for the magnetization is 0.000 μB/atom.

Geometry as extended XYZ:
```
14
Lattice="7.001 0.000 0.000 0.000 7.024 0.000 -3.501 0.000 8.429" Properties=species:S:1:pos:R:3 pbc="T T T"
La 0.000 5.268 7.102
La 3.501 1.756 7.233
La 1.750 0.000 4.214
La 3.501 1.756 1.326
La 1.750 3.512 4.214
La 0.000 5.268 1.195
La -1.750 0.000 4.214
La -1.750 3.512 4.214
Tl 0.000 1.756 6.554
Tl 3.501 5.268 1.875
Hg 3.501 5.268 6.470
Hg 0.000 1.756 1.959
O 3.501 1.756 4.187
O 0.000 5.268 4.242
```

---

3.
Entry from the Alexandria database: crystalline Ba2TaI at its relaxed geometry (PBE).

## Properties
The calculation puts the uncorrected formation energy at 517 meV/atom. For the total energy, the calculation gives -3.795 eV/atom. The value obtained for the energy relative to the lowest polymorph listed for this composition is 0 meV/atom. The value obtained for the magnetization is 1.273 μB/atom.

Geometry as extended XYZ:
```
4
Lattice="-3.885 4.084 2.215 -1.469 4.873 -3.282 -5.552 0.494 -2.369" Properties=species:S:1:pos:R:3 pbc="T T T"
Ta -5.453 4.726 -1.718
I 0.000 0.000 0.000
Ba -8.180 7.088 -2.577
Ba -2.727 2.363 -0.859
```

---

4.
Entry from the Alexandria database: crystalline Mg2Zn3Ag at its relaxed geometry (PBE).

## Properties
For the total energy, the calculation gives -1.768 eV/atom. The value obtained for the energy relative to the lowest polymorph listed for this composition is 31 meV/atom. The value obtained for the magnetization is 0.000 μB/atom.

Geometry as extended XYZ:
```
12
Lattice="-1.874 3.533 3.661 2.782 -4.097 2.208 6.087 4.391 -3.550" Properties=species:S:1:pos:R:3 pbc="T T T"
Zn 4.285 5.378 -0.145
Zn 4.862 2.487 2.519
Zn 2.133 1.340 -0.201
Zn 6.655 1.494 -0.885
Zn 0.339 2.333 3.204
Zn 2.710 -1.552 2.464
Ag 2.629 1.084 2.730
Ag 4.366 2.742 -0.411
Mg 2.333 3.821 1.523
Mg 4.661 0.006 0.796
Mg 0.228 -0.142 1.475
Mg 0.679 -0.423 4.394
```

---

Please write out number 2 again, unchanged.
Entry from the Alexandria database: crystalline La4TlHgO at its relaxed geometry (PBE).

## Properties
The calculation puts the uncorrected formation energy at -1042 meV/atom. For the total energy, the calculation gives -4.947 eV/atom. The value obtained for the magnetization is 0.000 μB/atom.

Geometry as extended XYZ:
```
14
Lattice="7.001 0.000 0.000 0.000 7.024 0.000 -3.501 0.000 8.429" Properties=species:S:1:pos:R:3 pbc="T T T"
La 0.000 5.268 7.102
La 3.501 1.756 7.233
La 1.750 0.000 4.214
La 3.501 1.756 1.326
La 1.750 3.512 4.214
La 0.000 5.268 1.195
La -1.750 0.000 4.214
La -1.750 3.512 4.214
Tl 0.000 1.756 6.554
Tl 3.501 5.268 1.875
Hg 3.501 5.268 6.470
Hg 0.000 1.756 1.959
O 3.501 1.756 4.187
O 0.000 5.268 4.242
```